Entry 1:
An optimized crystal structure of CdCuPbF6. Source: Alexandria via LeMat-Bulk, functional GGA-PBE.

## Properties
Space-group type: P-31c, No. 163
Raw formation energy: -2.009 eV per atom

Lattice parameters (Å, degrees): 5.680 5.680 10.348 90.00 90.00 120.00
Fractional coordinates of all 18 atoms:
Cd  0.333  0.667  0.250
Cd  0.667  0.333  0.750
Cu  0.333  0.667  0.750
Cu  0.667  0.333  0.250
Pb  0.000  0.000  0.000
Pb  0.000  0.000  0.500
F  0.028  0.369  0.640
F  0.028  0.659  0.860
F  0.341  0.369  0.860
F  0.341  0.972  0.640
F  0.369  0.028  0.140
F  0.369  0.341  0.360
F  0.631  0.659  0.640
F  0.631  0.972  0.860
F  0.659  0.028  0.360
F  0.659  0.631  0.140
F  0.972  0.341  0.140
F  0.972  0.631  0.360

Entry 2:
An optimized crystal structure of Cd2CuPbF8. Source: Alexandria via LeMat-Bulk, functional GGA-PBE.

## Properties
Space-group type: P-1, No. 2
Raw formation energy: -2.052 eV per atom

Lattice parameters (Å, degrees): 4.134 5.553 7.789 86.57 88.02 86.89
Fractional coordinates of all 12 atoms:
Cd  0.045  0.010  0.241
Cd  0.955  0.990  0.759
Cu  0.500  0.500  0.000
Pb  0.500  0.500  0.500
F  0.014  0.764  0.517
F  0.143  0.753  0.006
F  0.371  0.348  0.211
F  0.441  0.155  0.734
F  0.559  0.845  0.266
F  0.629  0.652  0.789
F  0.857  0.247  0.994
F  0.986  0.236  0.483

raw formation energy of number 2 (Cd2CuPbF8)?
-2.052 eV per atom